Below is a relaxed AcMn2NbO8 crystal, with properties calculated at the PBE+U level.

Calculated values
* density of states at the Fermi level: 0.200 states/eV/f.u.
* total moment: 6.00 μB/cell
* mass density: 5.6 Mg/m³
* energy: -7.698 eV/atom

```
data_AcMn2NbO8
_symmetry_space_group_name_H-M 'P -1'
_symmetry_Int_Tables_number 2
_cell_length_a 4.876
_cell_length_b 5.009
_cell_length_c 7.053
_cell_angle_alpha 80.03
_cell_angle_beta 81.85
_cell_angle_gamma 79.26
loop_
_symmetry_equiv_pos_as_xyz
'x,y,z'
'-x,-y,-z'
loop_
_atom_site_label
_atom_site_type_symbol
_atom_site_fract_x
_atom_site_fract_y
_atom_site_fract_z
Ac1 Ac 0.000 0.000 0.000
Mn1 Mn 0.451 0.449 0.226
Nb1 Nb 0.000 0.000 0.500
O1 O 0.197 0.758 0.724
O2 O 0.200 0.766 0.296
O3 O 0.286 0.239 0.432
O4 O 0.392 0.301 0.009
```